# 1
A geometry-optimized V3Co2P6WO24 structure, computed with GGA-PBEsol.

Values from the calculation:
Raw formation energy (eV per atom): -2.0184
Final energy (hartree per atom): -0.298
Symmetry: R3

abc: 8.3735 8.3735 8.3735
angles: 61.76 61.76 61.76
Last column: nearest neighbours and their distance in Å.
Sites, in units of the cell vectors:
O: 0.2647 0.0616 0.9040  1 P 1.60
O: 0.6207 0.0002 0.8169  1 P 1.52
O: 0.9439 0.0902 0.7409  1 P 1.54
O: 0.4472 0.2392 0.5862  1 P 1.54
O: 0.2392 0.5862 0.4472  1 P 1.54
O: 0.0037 0.1797 0.3810  1 P 1.57
O: 0.3178 0.4983 0.1186  1 P 1.51
O: 0.7604 0.4078 0.5532  1 P 1.54
O: 0.0616 0.9040 0.2647  1 P 1.60
O: 0.7409 0.9439 0.0902  1 P 1.54
O: 0.8169 0.6207 0.0002  1 P 1.52
O: 0.5862 0.4472 0.2392  1 P 1.54
O: 0.9040 0.2647 0.0616  1 P 1.60
O: 0.6832 0.4994 0.8792  1 P 1.51
O: 0.3810 0.0037 0.1797  1 P 1.57
O: 0.0902 0.7409 0.9439  1 P 1.54
O: 0.4994 0.8792 0.6832  1 P 1.51
O: 0.1186 0.3178 0.4983  1 P 1.51
O: 0.0002 0.8169 0.6207  1 P 1.52
O: 0.8792 0.6832 0.4994  1 P 1.51
O: 0.5532 0.7604 0.4078  1 P 1.54
O: 0.1797 0.3810 0.0037  1 P 1.57
O: 0.4983 0.1186 0.3178  1 P 1.51
O: 0.4078 0.5532 0.7604  1 P 1.54
V: 0.6378 0.6378 0.6378  6 O 1.91-2.00
V: 0.8611 0.8611 0.8611  6 O 1.90-1.99
V: 0.3597 0.3597 0.3597  6 O 1.90-1.99
P: 0.9575 0.2505 0.5457  4 O 1.51-1.57
P: 0.4686 0.0402 0.7411  4 O 1.51-1.60
P: 0.7411 0.4686 0.0402  4 O 1.51-1.60
P: 0.2505 0.5457 0.9575  4 O 1.51-1.57
P: 0.0402 0.7411 0.4686  4 O 1.51-1.60
P: 0.5457 0.9575 0.2505  4 O 1.51-1.57
Co: 0.4997 0.4997 0.4997  6 O 2.14
Co: 0.0032 0.0032 0.0032  6 O 2.15-2.19
W: 0.1368 0.1368 0.1368  6 O 1.93-1.97

# 2
A geometry-optimized ZnCoP2O7 structure, computed with GGA-PBEsol.

Values from the calculation:
Raw formation energy (eV per atom): -1.8014
Energy above the lowest structure with this stoichiometry (meV per atom): 0
Final energy (hartree per atom): -0.259
Symmetry: P2_1/c

abc: 6.9740 8.2859 8.9255
angles: 90.00 112.20 90.00
Last column: nearest neighbours and their distance in Å.
Sites, in units of the cell vectors:
O: 0.1388 0.4104 0.6571  1 P 1.53
O: 0.1573 0.1096 0.6003  1 P 1.54
O: 0.1738 0.7350 0.5481  1 P 1.54
O: 0.1476 0.3288 0.3971  2 P 1.59-1.61
O: 0.4011 0.9050 0.3829  1 P 1.54
O: 0.6476 0.1712 0.8971  2 P 1.59-1.61
O: 0.8524 0.6712 0.6029  2 P 1.59-1.61
O: 0.8612 0.5896 0.3429  1 P 1.53
O: 0.3612 0.9104 0.8429  1 P 1.53
O: 0.9271 0.8916 0.8192  1 P 1.50
O: 0.4197 0.2545 0.2963  1 P 1.54
O: 0.4271 0.6084 0.3192  1 P 1.50
O: 0.6388 0.0896 0.1571  1 P 1.53
O: 0.0803 0.7545 0.2037  1 P 1.54
O: 0.0989 0.4050 0.1171  1 P 1.54
O: 0.5989 0.0950 0.6171  1 P 1.54
O: 0.3262 0.2350 0.9519  1 P 1.54
O: 0.5729 0.3916 0.6808  1 P 1.50
O: 0.8262 0.2650 0.4519  1 P 1.54
O: 0.6738 0.7650 0.0481  1 P 1.54
O: 0.3427 0.6096 0.8997  1 P 1.54
O: 0.9011 0.5950 0.8829  1 P 1.54
O: 0.0729 0.1084 0.1808  1 P 1.50
O: 0.8427 0.8904 0.3997  1 P 1.54
O: 0.6573 0.3904 0.1003  1 P 1.54
O: 0.9197 0.2455 0.7963  1 P 1.54
O: 0.3524 0.8288 0.1029  2 P 1.59-1.61
O: 0.5803 0.7455 0.7037  1 P 1.54
P: 0.3176 0.7661 0.2610  4 O 1.50-1.61
P: 0.9365 0.7252 0.4683  4 O 1.53-1.59
P: 0.0635 0.2748 0.5317  4 O 1.53-1.59
P: 0.6824 0.2339 0.7390  4 O 1.50-1.61
P: 0.5635 0.2252 0.0317  4 O 1.53-1.59
P: 0.8176 0.7339 0.7610  4 O 1.50-1.61
P: 0.4365 0.7748 0.9683  4 O 1.53-1.59
P: 0.1824 0.2661 0.2390  4 O 1.50-1.61
Zn: 0.1220 0.0593 0.8178  5 O 1.95-2.09
Zn: 0.6220 0.4407 0.3178  5 O 1.95-2.09
Zn: 0.8780 0.9407 0.1822  5 O 1.95-2.09
Zn: 0.3780 0.5593 0.6822  5 O 1.95-2.09
Co: 0.3745 0.9306 0.6049  6 O 2.05-2.17
Co: 0.6255 0.0694 0.3951  6 O 2.05-2.17
Co: 0.8745 0.5694 0.1049  6 O 2.05-2.17
Co: 0.1255 0.4306 0.8951  6 O 2.05-2.17

# 3
A geometry-optimized ZnCoP2O7 structure, computed with GGA-PBEsol.

Values from the calculation:
Raw formation energy (eV per atom): -1.7857
Energy above the lowest structure with this stoichiometry (meV per atom): 16
Final energy (hartree per atom): -0.258
Symmetry: P-1

abc: 6.1160 6.3564 6.8235
angles: 67.85 76.93 81.09
Last column: nearest neighbours and their distance in Å.
Sites, in units of the cell vectors:
Co: 0.3571 0.9210 0.1825  5 O 1.96-2.09
Co: 0.6429 0.0790 0.8175  5 O 1.96-2.09
O: 0.9776 0.0821 0.7196  1 P 1.54
O: 0.2595 0.3817 0.5384  2 P 1.57-1.64
O: 0.9714 0.6294 0.1153  1 P 1.53
O: 0.7405 0.6183 0.4616  2 P 1.57-1.64
O: 0.6395 0.2384 0.3779  1 P 1.53
O: 0.3605 0.7617 0.6221  1 P 1.53
O: 0.5732 0.3922 0.8300  1 P 1.50
O: 0.0286 0.3706 0.8847  1 P 1.53
O: 0.2789 0.2186 0.2539  1 P 1.55
O: 0.3205 0.0405 0.8727  1 P 1.54
O: 0.6794 0.9595 0.1273  1 P 1.54
O: 0.0223 0.9179 0.2804  1 P 1.54
O: 0.4268 0.6078 0.1700  1 P 1.50
O: 0.7211 0.7814 0.7461  1 P 1.55
P: 0.8579 0.7854 0.2395  4 O 1.53-1.57
P: 0.5844 0.6377 0.6846  4 O 1.50-1.64
P: 0.4156 0.3623 0.3154  4 O 1.50-1.64
P: 0.1421 0.2146 0.7605  4 O 1.53-1.57
Zn: 0.0511 0.7230 0.7850  5 O 1.97-2.15
Zn: 0.9489 0.2770 0.2150  5 O 1.97-2.15

# 4
A geometry-optimized ZnCo3P4O14 structure, computed with GGA-PBEsol.

Values from the calculation:
Raw formation energy (eV per atom): -1.6780
Final energy (hartree per atom): -0.265
Symmetry: P2_1/c

abc: 7.1351 7.2170 9.5739
angles: 90.00 112.14 90.00
Last column: nearest neighbours and their distance in Å.
Sites, in units of the cell vectors:
O: 0.3525 0.9519 0.6554  1 P 1.50
O: 0.6864 0.8851 0.8695  1 P 1.56
O: 0.0234 0.9187 0.3865  1 P 1.53
O: 0.9684 0.2089 0.8580  1 P 1.54
O: 0.0316 0.7089 0.6420  1 P 1.54
O: 0.3525 0.5481 0.1554  1 P 1.50
O: 0.6285 0.7608 0.6049  1 P 1.53
O: 0.1972 0.6112 0.3979  1 P 1.53
O: 0.6534 0.1049 0.6574  2 P 1.58-1.60
O: 0.6285 0.7392 0.1049  1 P 1.53
O: 0.3136 0.3851 0.6305  1 P 1.56
O: 0.3466 0.8951 0.3426  2 P 1.58-1.60
O: 0.1972 0.8888 0.8979  1 P 1.53
O: 0.9766 0.0813 0.6135  1 P 1.53
O: 0.9766 0.4187 0.1135  1 P 1.53
O: 0.6864 0.6149 0.3695  1 P 1.56
O: 0.3136 0.1149 0.1305  1 P 1.56
O: 0.3715 0.2392 0.3951  1 P 1.53
O: 0.0316 0.7911 0.1420  1 P 1.54
O: 0.6475 0.0481 0.3446  1 P 1.50
O: 0.8028 0.3888 0.6021  1 P 1.53
O: 0.3466 0.6049 0.8426  2 P 1.58-1.60
O: 0.8028 0.1112 0.1021  1 P 1.53
O: 0.9684 0.2911 0.3580  1 P 1.54
O: 0.3715 0.2608 0.8951  1 P 1.53
O: 0.0234 0.5813 0.8865  1 P 1.53
O: 0.6475 0.4519 0.8446  1 P 1.50
O: 0.6534 0.3951 0.1574  2 P 1.58-1.60
P: 0.1374 0.7039 0.8150  4 O 1.53-1.58
P: 0.8626 0.2039 0.6850  4 O 1.53-1.58
P: 0.4264 0.4111 0.8044  4 O 1.50-1.60
P: 0.5736 0.5889 0.1956  4 O 1.50-1.60
P: 0.5736 0.9111 0.6956  4 O 1.50-1.60
P: 0.4264 0.0889 0.3044  4 O 1.50-1.60
P: 0.1374 0.7961 0.3150  4 O 1.53-1.58
P: 0.8626 0.2961 0.1850  4 O 1.53-1.58
Co: 0.8233 0.8571 0.4840  5 O 1.99-2.10
Co: 0.0000 0.0000 0.0000  4 O 1.99-2.15
Co: 0.1767 0.1429 0.5160  5 O 1.99-2.10
Co: 0.1767 0.3571 0.0160  5 O 1.99-2.10
Co: 0.0000 0.5000 0.5000  4 O 1.99-2.15
Co: 0.8233 0.6429 0.9840  5 O 1.99-2.10
Zn: 0.5000 0.0000 0.0000  6 O 2.16-2.30
Zn: 0.5000 0.5000 0.5000  6 O 2.16-2.30

# 5
A geometry-optimized CoPbO3 structure, computed with GGA-PBEsol.

Values from the calculation:
Raw formation energy (eV per atom): -1.0004
Final energy (hartree per atom): -0.239
Symmetry: R-3

abc: 4.9906 4.9906 6.7827
angles: 68.41 68.41 60.00
Last column: nearest neighbours and their distance in Å.
Sites, in units of the cell vectors:
Pb: 0.1134 0.1134 0.6599  3 O 2.22
Pb: 0.8866 0.8866 0.3401  3 O 2.22
O: 0.3351 0.5514 0.1689  2 Co 1.86
O: 0.9446 0.3351 0.1689  2 Co 1.86
O: 0.6649 0.4486 0.8311  2 Co 1.86
O: 0.4486 0.0554 0.8311  2 Co 1.86
O: 0.0554 0.6649 0.8311  2 Co 1.86
O: 0.5514 0.9446 0.1689  2 Co 1.86
Co: 0.3336 0.3336 0.9992  6 O 1.86
Co: 0.6664 0.6664 0.0008  6 O 1.86

# 6
A geometry-optimized TiCoPdO2 structure, computed with GGA-PBEsol.

Values from the calculation:
Raw formation energy (eV per atom): -0.1200
Final energy (hartree per atom): -0.243
Symmetry: P4/mmm

abc: 3.5790 3.5790 4.8376
angles: 90.00 90.00 90.00
Last column: nearest neighbours and their distance in Å.
Sites, in units of the cell vectors:
Pd: 0.5000 0.5000 0.5000  4 Ti 2.53
Co: 0.0000 0.0000 0.0000  4 O 1.79
O: 0.0000 0.5000 0.0000  2 Co 1.79
O: 0.5000 0.0000 0.0000  2 Co 1.79
Ti: 0.0000 0.0000 0.5000  2 Co 2.42, 4 Pd 2.53

# 7
A geometry-optimized PrCoO3 structure, computed with GGA-PBEsol.

Values from the calculation:
Raw formation energy (eV per atom): -2.2326
Final energy (hartree per atom): -0.293
Symmetry: Pnma

abc: 5.3461 5.3139 7.5352
angles: 90.00 90.00 90.00
Last column: nearest neighbours and their distance in Å.
Sites, in units of the cell vectors:
Pr: 0.5068 0.5367 0.2500  6 O 2.35-2.54
Pr: 0.9932 0.0367 0.2500  6 O 2.35-2.54
Pr: 0.4932 0.4633 0.7500  6 O 2.35-2.54
Pr: 0.0068 0.9633 0.7500  6 O 2.35-2.54
O: 0.4310 0.9953 0.2500  2 Co 1.92
O: 0.9310 0.5047 0.7500  2 Co 1.92
O: 0.7827 0.7830 0.0371  2 Co 1.92
O: 0.7173 0.2830 0.4629  2 Co 1.92
O: 0.7173 0.2830 0.0371  2 Co 1.92
O: 0.2173 0.2170 0.5371  2 Co 1.92
O: 0.5690 0.0047 0.7500  2 Co 1.92
O: 0.2173 0.2170 0.9629  2 Co 1.92
O: 0.2827 0.7170 0.5371  2 Co 1.92
O: 0.7827 0.7830 0.4629  2 Co 1.92
O: 0.0690 0.4953 0.2500  2 Co 1.92
O: 0.2827 0.7170 0.9629  2 Co 1.92
Co: 0.5000 0.0000 0.0000  6 O 1.92
Co: 0.0000 0.5000 0.0000  6 O 1.92
Co: 0.5000 0.0000 0.5000  6 O 1.92
Co: 0.0000 0.5000 0.5000  6 O 1.92

# 8
A geometry-optimized CoPtO2 structure, computed with GGA-PBEsol.

Values from the calculation:
Raw formation energy (eV per atom): -0.8676
Final energy (hartree per atom): -0.263
Symmetry: R-3m

abc: 2.8089 2.8089 6.1210
angles: 76.74 76.74 60.00
Last column: nearest neighbours and their distance in Å.
Sites, in units of the cell vectors:
Co: 0.5000 0.5000 0.5000  6 O 1.89
Pt: 0.0000 0.0000 0.0000  2 O 1.99
O: 0.1122 0.1122 0.6635  3 Co 1.89, 1 Pt 1.99
O: 0.8878 0.8878 0.3365  3 Co 1.89, 1 Pt 1.99

# 9
A geometry-optimized SrCo2PtO structure, computed with GGA-PBEsol.

Values from the calculation:
Raw formation energy (eV per atom): -0.2477
Final energy (hartree per atom): -0.226
Symmetry: P4/mmm

abc: 3.9168 3.9168 4.7835
angles: 90.00 90.00 90.00
Last column: nearest neighbours and their distance in Å.
Sites, in units of the cell vectors:
Co: 0.0000 0.5000 0.0000  2 O 1.96
Co: 0.5000 0.0000 0.0000  2 O 1.96
O: 0.0000 0.0000 0.0000  4 Co 1.96
Sr: 0.0000 0.0000 0.5000  2 O 2.39
Pt: 0.5000 0.5000 0.5000  4 Sr 2.77, 8 Co 3.09

# 10
A geometry-optimized Rb5Co2O4 structure, computed with GGA-PBEsol.

Values from the calculation:
Raw formation energy (eV per atom): -1.0376
Final energy (hartree per atom): -0.177
Symmetry: P-1

abc: 6.9161 9.1167 9.4813
angles: 61.69 89.42 71.31
Last column: nearest neighbours and their distance in Å.
Sites, in units of the cell vectors:
O: 0.3208 0.6443 0.9521  2 Co 1.84-1.95
O: 0.6901 0.7343 0.0462  1 Co 1.75
O: 0.6792 0.3557 0.0479  2 Co 1.84-1.95
O: 0.7725 0.7937 0.5176  1 Co 1.73
O: 0.1951 0.7947 0.3192  1 Co 1.73
O: 0.8049 0.2053 0.6808  1 Co 1.73
O: 0.2275 0.2063 0.4824  1 Co 1.73
O: 0.3099 0.2657 0.9538  1 Co 1.75
Rb: 0.0917 0.1738 0.2195  4 O 2.84-2.95
Rb: 0.8990 0.4379 0.7800  4 O 2.84-2.93
Rb: 0.6210 0.1702 0.3822  3 O 2.84-2.90
Rb: 0.6261 0.6372 0.3654  3 O 2.80-2.84
Rb: 0.7267 0.0526 0.0226  4 O 2.79-2.98
Rb: 0.9083 0.8262 0.7805  4 O 2.84-2.95
Rb: 0.3739 0.3628 0.6346  3 O 2.80-2.84
Rb: 0.1010 0.5621 0.2200  4 O 2.84-2.93
Rb: 0.2733 0.9474 0.9774  4 O 2.79-2.98
Rb: 0.3790 0.8298 0.6178  3 O 2.84-2.90
Co: 0.3871 0.4235 0.9699  3 O 1.75-1.95
Co: 0.6129 0.5765 0.0301  3 O 1.75-1.95
Co: 0.0125 0.2088 0.5773  2 O 1.73
Co: 0.9875 0.7912 0.4227  2 O 1.73

# 11
A geometry-optimized RbCoO2 structure, computed with GGA-PBEsol.

Values from the calculation:
Raw formation energy (eV per atom): 0.2839
Final energy (hartree per atom): -0.167
Symmetry: Fm-3m

abc: 4.1727 4.1727 4.1727
angles: 60.00 60.00 60.00
Last column: nearest neighbours and their distance in Å.
Sites, in units of the cell vectors:
Rb: 0.5000 0.5000 0.5000  8 O 2.56
O: 0.2500 0.2500 0.2500  4 Rb 2.56, 4 Co 2.56
O: 0.7500 0.7500 0.7500  4 Co 2.56, 4 Rb 2.56
Co: 0.0000 0.0000 0.0000  8 O 2.56

# 12
A geometry-optimized YCoRe2O structure, computed with GGA-PBEsol.

Values from the calculation:
Raw formation energy (eV per atom): 0.8859
Final energy (hartree per atom): -0.309
Symmetry: P4/mmm

abc: 3.6269 4.6410 4.6410
angles: 90.00 90.00 90.00
Last column: nearest neighbours and their distance in Å.
Sites, in units of the cell vectors:
O: 0.5000 0.0000 0.0000  2 Co 1.81
Y: 0.5000 0.5000 0.5000  8 Re 2.95, 4 O 3.28
Co: 0.0000 0.0000 0.0000  2 O 1.81
Re: 0.0000 0.0000 0.5000  2 Co 2.32
Re: 0.0000 0.5000 0.0000  2 Co 2.32